[1]
Density functional theory data (PBE) for crystalline AlHgAu2 at its relaxed geometry.

Computed properties:
- Energy above the most stable polymorph in this dataset: 98 meV per atom
- Electronic total energy: -10.90 eV per cell
- V: 75.3 Å³ per cell
- Theoretical density: 13.7 g cm⁻³
- DFT formation energy: -0.075 eV/atom

a b c (Å): 3.604 3.604 5.796
angles (deg): 90.00 90.00 90.00
Fractional coordinates of all 4 atoms:
Au: 0.000 0.000 0.975
Au: 0.500 0.500 0.249
Hg: 0.000 0.000 0.491
Al: 0.500 0.500 0.785

***

[2]
Density functional theory data (PBE) for crystalline AlHg2Au at its relaxed geometry.

Computed properties:
- Electronic total energy: -7.13 eV per cell
- V: 83.8 Å³ per cell
- Theoretical density: 12.4 g cm⁻³
- DFT formation energy: 0.122 eV/atom

a b c (Å): 8.737 8.737 8.737
angles (deg): 22.25 22.25 22.25
Fractional coordinates of all 4 atoms:
Au: 0.750 0.750 0.750
Hg: 0.999 0.999 0.999
Hg: 0.501 0.501 0.501
Al: 0.250 0.250 0.250

***

[3]
Density functional theory data (PBE) for crystalline Al2HgAu2 at its relaxed geometry.

Computed properties:
- Energy above the most stable polymorph in this dataset: 28 meV per atom
- Electronic total energy: -30.08 eV per cell
- V: 186.2 Å³ per cell
- Theoretical density: 11.6 g cm⁻³
- DFT formation energy: -0.139 eV/atom

a b c (Å): 7.815 7.815 3.048
angles (deg): 90.00 90.00 90.00
Fractional coordinates of all 10 atoms:
Au: 0.363 0.863 0.000
Au: 0.863 0.637 0.000
Au: 0.637 0.137 0.000
Au: 0.137 0.363 0.000
Hg: 0.000 0.000 0.000
Hg: 0.500 0.500 0.000
Al: 0.160 0.660 0.500
Al: 0.660 0.840 0.500
Al: 0.840 0.340 0.500
Al: 0.340 0.160 0.500

***

[4]
Density functional theory data (PBE) for crystalline AlHgAu2 at its relaxed geometry.

Computed properties:
- Energy above the most stable polymorph in this dataset: 0 meV per atom
- Electronic total energy: -11.29 eV per cell
- V: 78.8 Å³ per cell
- Theoretical density: 13.1 g cm⁻³
- DFT formation energy: -0.173 eV/atom

a b c (Å): 3.330 3.330 8.427
angles (deg): 78.61 78.61 60.00
Fractional coordinates of all 4 atoms:
Al: 0.667 0.667 0.000
Hg: 0.500 0.500 0.500
Au: 0.072 0.072 0.785
Au: 0.262 0.262 0.215

***

What did the third record say?
Density functional theory data (PBE) for crystalline Al2HgAu2 at its relaxed geometry.

Computed properties:
- Energy above the most stable polymorph in this dataset: 28 meV per atom
- Electronic total energy: -30.08 eV per cell
- V: 186.2 Å³ per cell
- Theoretical density: 11.6 g cm⁻³
- DFT formation energy: -0.139 eV/atom

a b c (Å): 7.815 7.815 3.048
angles (deg): 90.00 90.00 90.00
Fractional coordinates of all 10 atoms:
Au: 0.363 0.863 0.000
Au: 0.863 0.637 0.000
Au: 0.637 0.137 0.000
Au: 0.137 0.363 0.000
Hg: 0.000 0.000 0.000
Hg: 0.500 0.500 0.000
Al: 0.160 0.660 0.500
Al: 0.660 0.840 0.500
Al: 0.840 0.340 0.500
Al: 0.340 0.160 0.500

***

What did the first record say?
Density functional theory data (PBE) for crystalline AlHgAu2 at its relaxed geometry.

Computed properties:
- Energy above the most stable polymorph in this dataset: 98 meV per atom
- Electronic total energy: -10.90 eV per cell
- V: 75.3 Å³ per cell
- Theoretical density: 13.7 g cm⁻³
- DFT formation energy: -0.075 eV/atom

a b c (Å): 3.604 3.604 5.796
angles (deg): 90.00 90.00 90.00
Fractional coordinates of all 4 atoms:
Au: 0.000 0.000 0.975
Au: 0.500 0.500 0.249
Hg: 0.000 0.000 0.491
Al: 0.500 0.500 0.785

***

- The highest electronic total energy belongs to which entry?
  AlHg2Au

***

Repeat the third record exactly.
Density functional theory data (PBE) for crystalline Al2HgAu2 at its relaxed geometry.

Computed properties:
- Energy above the most stable polymorph in this dataset: 28 meV per atom
- Electronic total energy: -30.08 eV per cell
- V: 186.2 Å³ per cell
- Theoretical density: 11.6 g cm⁻³
- DFT formation energy: -0.139 eV/atom

a b c (Å): 7.815 7.815 3.048
angles (deg): 90.00 90.00 90.00
Fractional coordinates of all 10 atoms:
Au: 0.363 0.863 0.000
Au: 0.863 0.637 0.000
Au: 0.637 0.137 0.000
Au: 0.137 0.363 0.000
Hg: 0.000 0.000 0.000
Hg: 0.500 0.500 0.000
Al: 0.160 0.660 0.500
Al: 0.660 0.840 0.500
Al: 0.840 0.340 0.500
Al: 0.340 0.160 0.500